DFT (PBE) results for a relaxed ErSc2Os crystal.

```
8
Lattice="-2.9942 -2.4262 -0.6709 5.0466 -2.8891 -0.6730 -0.1195 -2.1109 8.1662" Properties=species:S:1:pos:R:3 pbc="T T T"
Sc 0.9983 -2.1351 3.2640
Er 3.0553 -4.0931 1.1651
Er -1.1223 -3.3330 5.6572
Os 1.6964 -3.6478 5.6171
Sc 1.0428 -1.3488 0.2221
Os 0.2365 -3.7783 1.2052
Sc 0.8901 -6.0774 6.6001
Sc 0.9346 -5.2911 3.5583
```

Results
The calculation puts the polymorph energy (0 for the lowest one) at 0.0 meV/atom. As for the total energy: -7.41 eV per atom.


DFT (PBE) results for a relaxed Er2ScOs crystal.

```
4
Lattice="-3.0831 -0.9171 0.7173 -0.8461 -3.1823 -0.1347 1.3799 -2.5090 10.2933" Properties=species:S:1:pos:R:3 pbc="T T T"
Er 0.5661 -2.1634 7.2377
Sc 0.0000 0.0000 0.0000
Er -3.1154 -4.4451 3.6382
Os -1.2746 -3.3042 5.4379
```

Results
The calculation puts the polymorph energy (0 for the lowest one) at 567.4 meV/atom. As for the total energy: -6.41 eV per atom.


DFT (PBE) results for a relaxed Er2Sc3Os2 crystal.

```
7
Lattice="-1.7734 3.5489 -0.8041 -3.9219 -4.0350 1.0303 2.7779 2.9030 6.6860" Properties=species:S:1:pos:R:3 pbc="T T T"
Os -0.9109 -0.0873 1.6234
Sc -0.8867 1.7744 -0.4021
Os -2.0066 2.5043 5.2888
Er 0.7410 1.6328 5.5720
Er -3.6584 0.7841 1.3402
Sc -1.9650 -0.0163 4.2618
Sc -0.9524 2.4332 2.6504
```

Results
As for the total energy: -7.55 eV per atom.


What is the formula in the third record? Er2Sc3Os2


Number 2 is which compound? Er2ScOs